# ReP2Ru

A crystal of ReP2Ru relaxed with PBEsol (meta-GGA SCAN, the Alexandria database).

ΔE to the lowest computed polymorph   79 meV per atom
D(E_F)   1.41 states/eV per cell
DFT formation energy   -0.6 eV per formula unit

a b c (Å): 2.930 4.127 4.127
angles (deg): 90.00 90.00 90.00
Atoms (fractional coordinates):
P 0.000 0.500 0.000
P 0.000 0.000 0.500
Re 0.500 0.500 0.500
Ru 0.500 0.000 0.000